1.
Crystalline LaGd2Cd3Pt2Au at its relaxed geometry. Source: the Open Quantum Materials Database, functional PBE-GGA.

Computed properties:
Formation enthalpy at 0 K ... -0.82 eV/atom
SG ... Amm2, No. 38
Calculated total energy ... -39.67 eV for the cell shown

Lattice parameters (Å, degrees): 3.971 7.768 7.768 119.74 90.00 90.00
Fractional coordinates of all 9 atoms:
La (0.000, 0.000, 0.000)
Gd (0.000, 0.414, 0.822)
Gd (0.000, 0.822, 0.414)
Cd (0.500, 0.154, 0.417)
Cd (0.500, 0.417, 0.154)
Cd (0.500, 0.669, 0.669)
Pt (0.500, 0.080, 0.744)
Pt (0.500, 0.744, 0.080)
Au (0.000, 0.417, 0.417)

=====

2.
Crystalline Er3In3Pd2Pt at its relaxed geometry. Source: the Open Quantum Materials Database, functional PBE-GGA.

Computed properties:
SG ... P-62m, No. 189
Calculated total energy ... -46.05 eV for the cell shown

Lattice parameters (Å, degrees): 7.677 7.677 3.824 90.00 90.00 120.00
Fractional coordinates of all 9 atoms:
Er (0.000, 0.401, 0.000)
Er (0.401, 0.000, 0.000)
Er (0.599, 0.599, 0.000)
In (0.000, 0.736, 0.500)
In (0.264, 0.264, 0.500)
In (0.736, 0.000, 0.500)
Pd (0.333, 0.667, 0.500)
Pd (0.667, 0.333, 0.500)
Pt (0.000, 0.000, 0.000)